Entry 1:
VASP calculation (GGA-PBE) on a relaxed Tb3PrSm2Dy6 crystal.

Geometry as POSCAR:
```
Tb3PrSm2Dy6
1.0
-0.817 -5.974 1.418
1.707 1.615 -5.731
10.900 0.655 4.543
Tb Pr Sm Dy
3 1 2 6
Direct
0.167 0.833 0.500
0.833 0.167 0.500
0.500 0.500 0.500
0.000 0.000 0.000
0.333 0.667 0.000
0.667 0.333 0.000
0.915 0.581 0.747
0.751 0.751 0.253
0.085 0.419 0.253
0.581 0.915 0.747
0.249 0.249 0.747
0.419 0.085 0.253
```

- Fermi-level density of states (states/eV per atom) = 1.2576
- ΔE_f (eV per atom) = 0.015
- total magnetic moment (Bohr magnetons per cell) = 0.000
- space group = C2/m, No. 12
- electronic total energy (hartree per atom) = -0.1701

=====

Entry 2:
VASP calculation (GGA-PBE) on a relaxed PtCl4 crystal.

Geometry as POSCAR:
```
PtCl4
1.0
11.313 0.000 0.000
0.000 11.313 0.000
0.000 0.000 11.313
Pt Cl
8 32
Direct
0.864 0.136 0.636
0.636 0.864 0.136
0.636 0.636 0.636
0.864 0.364 0.136
0.364 0.364 0.364
0.136 0.636 0.864
0.364 0.136 0.864
0.136 0.864 0.364
0.001 0.762 0.943
0.751 0.751 0.751
0.057 0.999 0.238
0.262 0.943 0.499
0.557 0.501 0.762
0.943 0.001 0.762
0.501 0.738 0.057
0.501 0.762 0.557
0.057 0.501 0.738
0.749 0.249 0.251
0.943 0.499 0.262
0.249 0.249 0.249
0.749 0.251 0.751
0.762 0.943 0.001
0.251 0.751 0.749
0.738 0.443 0.001
0.262 0.557 0.999
0.001 0.738 0.443
0.249 0.251 0.749
0.443 0.499 0.238
0.499 0.238 0.443
0.751 0.749 0.251
0.443 0.001 0.738
0.762 0.557 0.501
0.238 0.443 0.499
0.999 0.262 0.557
0.557 0.999 0.262
0.251 0.749 0.249
0.738 0.057 0.501
0.499 0.262 0.943
0.238 0.057 0.999
0.999 0.238 0.057
```

- Fermi-level density of states (states/eV per atom) = 1.1954
- formation energy from raw total energies (meV per atom) = 41
- total magnetic moment (Bohr magnetons per cell) = 16.331
- space group = Pa-3, No. 205
- electronic total energy (hartree per atom) = -0.0972

=====

Entry 3:
VASP calculation (GGA-PBE) on a relaxed PaCoIr crystal.

Geometry as POSCAR:
```
PaCoIr
1.0
4.432 0.000 2.489
1.584 4.310 2.371
0.013 0.016 5.168
Pa Co Ir
2 2 2
Direct
0.877 0.373 0.373
0.123 0.627 0.627
0.000 0.000 0.000
0.500 0.000 0.000
0.500 0.500 0.000
0.500 0.000 0.500
```

- Fermi-level density of states (states/eV per atom) = 0.8351
- ΔE_f (eV per atom) = -0.614
- total magnetic moment (Bohr magnetons per cell) = 0.000
- space group = Imma, No. 74
- electronic total energy (hartree per atom) = -0.3345

=====

Entry 4:
VASP calculation (GGA-PBE) on a relaxed CaNdDyTm crystal.

Geometry as POSCAR:
```
CaNdDyTm
1.0
-5.664 1.066 0.208
-3.772 -4.301 -0.725
-3.125 -1.878 4.468
Ca Tm Nd Dy
1 1 1 1
Direct
0.250 0.250 0.250
0.750 0.750 0.750
0.000 0.000 0.000
0.500 0.500 0.500
```

- Fermi-level density of states (states/eV per atom) = 1.5927
- ΔE_f (eV per atom) = 0.136
- total magnetic moment (Bohr magnetons per cell) = 0.000
- space group = F-43m, No. 216
- electronic total energy (hartree per atom) = -0.1405

=====

Entry 5:
VASP calculation (GGA-PBE) on a relaxed CsCaPmBr6 crystal.

Geometry as POSCAR:
```
CsCaPmBr6
1.0
-6.879 3.032 -1.143
2.796 -5.055 -4.944
-6.616 -11.852 8.379
Cs Ca Pm Br
2 2 2 12
Direct
0.000 0.000 0.000
0.000 0.000 0.500
0.333 0.667 0.250
0.667 0.333 0.750
0.667 0.333 0.250
0.333 0.667 0.750
0.622 0.619 0.145
0.997 0.378 0.145
0.378 0.997 0.645
0.003 0.622 0.855
0.381 0.378 0.355
0.997 0.619 0.355
0.619 0.997 0.855
0.622 0.003 0.355
0.003 0.381 0.645
0.381 0.003 0.145
0.619 0.622 0.645
0.378 0.381 0.855
```

- Fermi-level density of states (states/eV per atom) = 0.0000
- formation energy from raw total energies (meV per atom) = -1952
- total magnetic moment (Bohr magnetons per cell) = 0.000
- space group = P-31c, No. 163
- electronic total energy (hartree per atom) = -0.1438

=====

Entry 6:
VASP calculation (GGA-PBE) on a relaxed KFe2Cu crystal.

Geometry as POSCAR:
```
KFe2Cu
1.0
2.677 0.000 0.000
0.000 3.792 0.000
0.000 0.000 7.547
Cu Fe K
1 2 1
Direct
0.500 0.500 0.750
0.000 0.000 0.899
0.000 0.000 0.601
0.500 0.500 0.250
```

- Fermi-level density of states (states/eV per atom) = 0.8648
- ΔE_f (eV per atom) = 0.731
- total magnetic moment (Bohr magnetons per cell) = 5.598
- space group = Pmmm, No. 47
- electronic total energy (hartree per atom) = -0.1763

=====

Entry 7:
VASP calculation (GGA-PBE) on a relaxed Sr2CrAg crystal.

Geometry as POSCAR:
```
Sr2CrAg
1.0
3.365 -1.490 1.049
1.565 3.331 1.049
1.822 0.680 9.699
Ag Cr Sr
1 1 2
Direct
0.750 0.750 0.750
0.250 0.250 0.250
0.007 0.007 0.992
0.493 0.493 0.508
```

- Fermi-level density of states (states/eV per atom) = 0.8998
- ΔE_f (eV per atom) = 0.303
- total magnetic moment (Bohr magnetons per cell) = 4.617
- space group = C2/m, No. 12
- electronic total energy (hartree per atom) = -0.1344

=====

Entry 8:
VASP calculation (GGA-PBE) on a relaxed HfPt2Au2 crystal.

Geometry as POSCAR:
```
HfPt2Au2
1.0
6.901 0.000 0.000
0.000 6.901 0.000
0.000 0.000 3.906
Hf Au Pt
2 4 4
Direct
0.000 0.000 0.000
0.500 0.500 0.000
0.167 0.667 0.500
0.667 0.833 0.500
0.833 0.333 0.500
0.333 0.167 0.500
0.365 0.865 0.000
0.865 0.635 0.000
0.635 0.135 0.000
0.135 0.365 0.000
```

- Fermi-level density of states (states/eV per atom) = 0.4075
- ΔE_f (eV per atom) = -0.379
- total magnetic moment (Bohr magnetons per cell) = 0.000
- space group = P4/mbm, No. 127
- electronic total energy (hartree per atom) = -0.2240

=====

Entry 9:
VASP calculation (GGA-PBE) on a relaxed Cs2TlVBr6 crystal.

Geometry as POSCAR:
```
Cs2TlVBr6
1.0
-1.960 -2.414 -7.514
-1.127 -7.577 2.728
-7.067 -3.794 -1.338
Cs Tl Br V
2 1 6 1
Direct
0.750 0.250 0.500
0.250 0.750 0.500
0.000 0.000 0.000
0.277 0.277 0.446
0.723 0.723 0.554
0.277 0.277 0.000
0.723 0.723 0.000
0.723 0.277 0.000
0.277 0.723 0.000
0.500 0.500 0.000
```

- Fermi-level density of states (states/eV per atom) = 2.6038
- formation energy from raw total energies (meV per atom) = -1241
- total magnetic moment (Bohr magnetons per cell) = 2.000
- space group = Fm-3m, No. 225
- electronic total energy (hartree per atom) = -0.1310

=====

Entry 10:
VASP calculation (GGA-PBE) on a relaxed V7PdC2 crystal.

Geometry as POSCAR:
```
V7PdC2
1.0
3.957 0.000 0.000
0.000 6.098 0.014
0.000 -2.738 5.449
V Pd C
7 1 2
Direct
0.000 0.725 0.275
0.000 0.275 0.725
0.500 0.066 0.333
0.500 0.934 0.667
0.500 0.333 0.066
0.500 0.667 0.934
0.500 0.500 0.500
0.000 0.000 0.000
0.500 0.705 0.295
0.500 0.295 0.705
```

- Fermi-level density of states (states/eV per atom) = 1.1376
- ΔE_f (eV per atom) = 0.031
- total magnetic moment (Bohr magnetons per cell) = 0.000
- space group = Cmmm, No. 65
- electronic total energy (hartree per atom) = -0.3203

=====

Entry 11:
VASP calculation (GGA-PBE) on a relaxed BaBeCo crystal.

Geometry as POSCAR:
```
BaBeCo
1.0
-1.121 0.444 4.542
3.346 -0.299 3.286
1.307 3.836 2.379
Be Co Ba
1 1 1
Direct
0.750 0.750 0.750
0.000 0.000 0.000
0.500 0.500 0.500
```

- Fermi-level density of states (states/eV per atom) = 1.8371
- ΔE_f (eV per atom) = 1.057
- total magnetic moment (Bohr magnetons per cell) = 0.673
- space group = F-43m, No. 216
- electronic total energy (hartree per atom) = -0.1174

=====

Entry 12:
VASP calculation (GGA-PBE) on a relaxed OsBrCl2 crystal.

Geometry as POSCAR:
```
OsBrCl2
1.0
0.000 3.447 3.447
3.447 0.000 3.447
3.447 3.447 0.000
Os Br Cl
1 1 2
Direct
0.500 0.500 0.500
0.000 0.000 0.000
0.250 0.250 0.250
0.750 0.750 0.750
```

- Fermi-level density of states (states/eV per atom) = 1.1364
- formation energy from raw total energies (meV per atom) = 1336
- total magnetic moment (Bohr magnetons per cell) = 4.469
- space group = Fm-3m, No. 225
- electronic total energy (hartree per atom) = -0.1034

=====

Entry 13:
VASP calculation (GGA-PBE) on a relaxed CaNp2Cl8 crystal.

Geometry as POSCAR:
```
CaNp2Cl8
1.0
-3.438 5.232 -4.536
-7.723 -0.255 0.314
-4.263 5.134 3.908
Ca Np Cl
1 2 8
Direct
0.000 0.000 0.000
0.578 0.864 0.864
0.422 0.136 0.136
0.270 0.252 0.803
0.730 0.197 0.748
0.307 0.787 0.787
0.693 0.213 0.213
0.270 0.803 0.252
0.730 0.748 0.197
0.853 0.670 0.670
0.147 0.330 0.330
```

- Fermi-level density of states (states/eV per atom) = 1.2267
- formation energy from raw total energies (meV per atom) = -1748
- total magnetic moment (Bohr magnetons per cell) = 8.000
- space group = C2/m, No. 12
- electronic total energy (hartree per atom) = -0.2068

=====

Entry 14:
VASP calculation (GGA-PBE) on a relaxed Ti3In2Au crystal.

Geometry as POSCAR:
```
Ti3In2Au
1.0
-2.355 -1.769 -0.509
0.838 -0.294 -2.854
6.797 -9.915 3.016
Ti In Au
3 2 1
Direct
0.000 0.000 0.000
0.000 0.000 0.654
0.000 0.000 0.346
0.500 0.500 0.827
0.500 0.500 0.173
0.500 0.500 0.500
```

- Fermi-level density of states (states/eV per atom) = 0.8833
- ΔE_f (eV per atom) = -0.226
- total magnetic moment (Bohr magnetons per cell) = 0.000
- space group = P4/mmm, No. 123
- electronic total energy (hartree per atom) = -0.2070

=====

Entry 15:
VASP calculation (GGA-PBE) on a relaxed K2Cu crystal.

Geometry as POSCAR:
```
K2Cu
1.0
-2.000 -4.494 6.744
3.085 -6.256 4.585
0.833 7.291 -3.978
Cu K
1 2
Direct
0.000 0.000 0.000
0.623 0.623 0.000
0.377 0.377 0.000
```

- Fermi-level density of states (states/eV per atom) = 0.6345
- ΔE_f (eV per atom) = 0.313
- total magnetic moment (Bohr magnetons per cell) = 0.000
- space group = I4/mmm, No. 139
- electronic total energy (hartree per atom) = -0.0656

=====

Entry 16:
VASP calculation (GGA-PBE) on a relaxed TbNd2Er4 crystal.

Geometry as POSCAR:
```
TbNd2Er4
1.0
-1.489 -0.763 3.092
-0.044 -7.574 -4.567
7.700 2.730 3.391
Tb Nd Er
1 2 4
Direct
0.000 0.000 0.000
0.981 0.407 0.130
0.019 0.593 0.870
0.355 0.739 0.580
0.198 0.166 0.716
0.645 0.261 0.420
0.802 0.834 0.284
```

- Fermi-level density of states (states/eV per atom) = 1.6177
- ΔE_f (eV per atom) = 0.087
- total magnetic moment (Bohr magnetons per cell) = 0.000
- space group = P-1, No. 2
- electronic total energy (hartree per atom) = -0.1670

=====

Entry 17:
VASP calculation (GGA-PBE) on a relaxed Ba2Li3PmBi4 crystal.

Geometry as POSCAR:
```
Ba2Li3PmBi4
1.0
5.081 0.000 0.000
0.000 5.081 0.000
0.000 0.000 12.336
Ba Li Pm Bi
2 3 1 4
Direct
0.500 0.000 0.221
0.000 0.500 0.779
0.000 0.000 0.500
0.500 0.000 0.883
0.000 0.500 0.117
0.500 0.500 0.500
0.500 0.500 0.000
0.000 0.000 0.000
0.500 0.000 0.650
0.000 0.500 0.350
```

- Fermi-level density of states (states/eV per atom) = 0.3939
- ΔE_f (eV per atom) = -0.723
- total magnetic moment (Bohr magnetons per cell) = 0.198
- space group = P-4m2, No. 115
- electronic total energy (hartree per atom) = -0.1363

=====

Entry 18:
VASP calculation (GGA-PBE) on a relaxed Rb2GeIr crystal.

Geometry as POSCAR:
```
Rb2GeIr
1.0
13.030 0.000 0.000
0.000 13.030 0.000
6.515 6.515 2.338
Ge Ir Rb
2 2 4
Direct
0.500 0.500 0.000
0.250 0.750 0.500
0.000 0.000 0.000
0.750 0.250 0.500
0.840 0.125 0.250
0.910 0.625 0.250
0.375 0.160 0.750
0.875 0.090 0.750
```

- Fermi-level density of states (states/eV per atom) = 0.6052
- ΔE_f (eV per atom) = 0.185
- total magnetic moment (Bohr magnetons per cell) = 0.000
- space group = I-42d, No. 122
- electronic total energy (hartree per atom) = -0.1348

=====

Entry 19:
VASP calculation (GGA-PBE) on a relaxed Ca8Ag2Bi crystal.

Geometry as POSCAR:
```
Ca8Ag2Bi
1.0
-4.344 -3.691 -1.155
1.947 -2.734 7.823
-4.474 7.242 0.091
Ca Ag Bi
8 2 1
Direct
0.589 0.334 0.074
0.589 0.074 0.334
0.192 0.383 0.383
0.000 0.240 0.766
0.000 0.766 0.240
0.808 0.623 0.623
0.410 0.932 0.673
0.410 0.673 0.932
0.500 0.689 0.317
0.500 0.317 0.689
0.002 0.003 0.003
```

- Fermi-level density of states (states/eV per atom) = 0.5881
- ΔE_f (eV per atom) = -0.268
- total magnetic moment (Bohr magnetons per cell) = 0.000
- space group = Cm, No. 8
- electronic total energy (hartree per atom) = -0.0954

=====

Entry 20:
VASP calculation (GGA-PBE) on a relaxed EuTmGaNi crystal.

Geometry as POSCAR:
```
EuTmGaNi
1.0
4.985 0.000 0.000
2.493 4.317 0.000
2.493 1.439 4.070
Eu Ni Tm Ga
1 1 1 1
Direct
0.000 0.000 0.000
0.250 0.250 0.250
0.500 0.500 0.500
0.750 0.750 0.750
```

- Fermi-level density of states (states/eV per atom) = 1.2041
- ΔE_f (eV per atom) = -0.300
- total magnetic moment (Bohr magnetons per cell) = 6.868
- space group = F-43m, No. 216
- electronic total energy (hartree per atom) = -0.2274

=====

Entry 21:
VASP calculation (GGA-PBE) on a relaxed CrMo2Ir crystal.

Geometry as POSCAR:
```
CrMo2Ir
1.0
6.098 0.170 0.554
-2.559 4.018 -0.199
0.981 0.748 2.440
Cr Ir Mo
1 1 2
Direct
0.000 0.500 0.500
0.500 0.500 0.000
0.000 0.000 0.000
0.500 0.000 0.500
```

- Fermi-level density of states (states/eV per atom) = 1.1671
- ΔE_f (eV per atom) = 0.053
- total magnetic moment (Bohr magnetons per cell) = 0.002
- space group = Cmmm, No. 65
- electronic total energy (hartree per atom) = -0.3669

=====

Entry 22:
VASP calculation (GGA-PBE) on a relaxed Ag12TeO7 crystal.

Geometry as POSCAR:
```
Ag12TeO7
1.0
-3.429 -3.901 -4.993
-1.260 -3.106 6.377
-3.104 6.500 0.138
Ag Te O
12 1 7
Direct
0.916 0.282 0.705
0.718 0.295 0.084
0.477 0.157 0.430
0.843 0.570 0.523
0.295 0.084 0.718
0.570 0.523 0.843
0.430 0.477 0.157
0.705 0.916 0.282
0.157 0.430 0.477
0.523 0.843 0.570
0.282 0.705 0.916
0.084 0.718 0.295
0.000 0.000 0.000
0.948 0.697 0.933
0.303 0.067 0.052
0.067 0.052 0.303
0.500 0.500 0.500
0.933 0.948 0.697
0.697 0.933 0.948
0.052 0.303 0.067
```

- Fermi-level density of states (states/eV per atom) = 0.2565
- formation energy from raw total energies (meV per atom) = -187
- total magnetic moment (Bohr magnetons per cell) = 0.000
- space group = R-3, No. 148
- electronic total energy (hartree per atom) = -0.1393

=====

Entry 23:
VASP calculation (GGA-PBE) on a relaxed ZnCr crystal.

Geometry as POSCAR:
```
ZnCr
1.0
-0.050 -4.279 2.333
4.665 0.634 1.264
-1.458 2.316 4.217
Zn Cr
4 4
Direct
0.173 0.173 0.000
0.673 0.327 0.500
0.327 0.673 0.500
0.827 0.827 0.000
0.348 0.652 0.000
0.848 0.848 0.500
0.152 0.152 0.500
0.652 0.348 0.000
```

- Fermi-level density of states (states/eV per atom) = 0.8092
- ΔE_f (eV per atom) = 0.799
- total magnetic moment (Bohr magnetons per cell) = 2.670
- space group = P4_2/mnm, No. 136
- electronic total energy (hartree per atom) = -0.1709